Record 1
Entry from Alexandria via LeMat-Bulk: a relaxed BaGeBiIr crystal (PBE-GGA).

V = 227.8 Å³ per cell
space-group type = No. 129
uncorrected energy = -42.916 eV per cell

Cell: 4.3739 4.3739 11.9062 Å, 90.00 90.00 90.00°
Element x y z (fractional)
Ba  0.2500  0.2500  0.2411
Ba  0.7500  0.7500  0.7589
Ge  0.2500  0.2500  0.8947
Ge  0.7500  0.7500  0.1053
Bi  0.2500  0.7500  0.5000
Bi  0.7500  0.2500  0.5000
Ir  0.2500  0.7500  0.0000
Ir  0.7500  0.2500  0.0000


Record 2
Entry from Alexandria via LeMat-Bulk: a relaxed Ba2Li4GeBi3 crystal (PBE-GGA).

V = 275.1 Å³ per cell
space-group type = No. 115
uncorrected energy = -33.869 eV per cell

Cell: 4.7476 4.7476 12.2075 Å, 90.00 90.00 90.00°
Element x y z (fractional)
Ba  0.0000  0.5000  0.2493
Ba  0.5000  0.0000  0.7507
Li  0.0000  0.0000  0.0000
Li  0.0000  0.5000  0.6319
Li  0.5000  0.0000  0.3681
Li  0.5000  0.5000  0.0000
Ge  0.0000  0.0000  0.5000
Bi  0.0000  0.5000  0.8642
Bi  0.5000  0.0000  0.1358
Bi  0.5000  0.5000  0.5000


Record 3
Entry from Alexandria via LeMat-Bulk: a relaxed Ba2GeBiN crystal (PBE-GGA).

formation energy from raw total energies = -237 meV per atom
V = 150.1 Å³ per cell
space-group type = No. 123
uncorrected energy = -21.853 eV per cell

Cell: 5.5826 5.5826 4.8149 Å, 90.00 90.00 90.00°
Element x y z (fractional)
Ba  0.0000  0.5000  0.0000
Ba  0.5000  0.0000  0.0000
Ge  0.0000  0.0000  0.5000
Bi  0.5000  0.5000  0.5000
N  0.5000  0.5000  0.0000


Record 4
Entry from Alexandria via LeMat-Bulk: a relaxed Ba2GeBiO6 crystal (PBE-GGA).

formation energy from raw total energies = -1896 meV per atom
V = 315.1 Å³ per cell
space-group type = No. 166
uncorrected energy = -122.106 eV per cell

Cell: 10.6723 10.6723 10.6723 Å, 32.68 32.68 32.68°
Element x y z (fractional)
Ba  0.1321  0.1321  0.1321
Ba  0.2874  0.2874  0.2874
Ba  0.7126  0.7126  0.7126
Ba  0.8679  0.8679  0.8679
Ge  0.0000  0.0000  0.0000
Ge  0.5000  0.5000  0.5000
Bi  0.4073  0.4073  0.4073
Bi  0.5927  0.5927  0.5927
O  0.1592  0.6124  0.6124
O  0.1891  0.1891  0.7328
O  0.1891  0.7328  0.1891
O  0.2672  0.8109  0.8109
O  0.3876  0.3876  0.8408
O  0.3876  0.8408  0.3876
O  0.6124  0.1592  0.6124
O  0.6124  0.6124  0.1592
O  0.7328  0.1891  0.1891
O  0.8109  0.2672  0.8109
O  0.8109  0.8109  0.2672
O  0.8408  0.3876  0.3876